## LiAgPtW (GGA-PBE)

Data for a relaxed LiAgPtW crystal.

abc: 4.399 4.399 4.399
angles: 60.00 60.00 60.00
Element x y z (fractional)
Ag 0.500 0.500 0.500
Li 0.750 0.750 0.750
Pt 0.250 0.250 0.250
W 0.000 0.000 0.000

Total energy = -5.785 eV/atom
Total magnetization = 0.0 μB/f.u.